[1]
Entry from OQMD: a relaxed PrNiB crystal (PBE-GGA).

## Properties
excess energy over the best structure of this formula in the dataset: 0 meV/atom

CIF file:
```
data_PrNiB
_cell_length_a 6.3829
_cell_length_b 3.6236
_cell_length_c 8.7206
_cell_angle_alpha 90.00
_cell_angle_beta 90.00
_cell_angle_gamma 90.00
_space_group_name_H-M_alt 'P n m a'
_space_group_IT_number 62
loop_
_space_group_symop_operation_xyz
'x,y,z'
'-x,-y,-z'
'-x+1/2,-y,z+1/2'
'x+1/2,y,-z+1/2'
'x+1/2,-y+1/2,-z+1/2'
'-x+1/2,y+1/2,z+1/2'
'-x,y+1/2,-z'
'x,-y+1/2,z'
loop_
_atom_site_label
_atom_site_type_symbol
_atom_site_fract_x
_atom_site_fract_y
_atom_site_fract_z
Pr1 Pr 0.0213 0.2500 0.1853
Ni1 Ni 0.1292 0.2500 0.5234
B1 B 0.1873 0.7500 0.4388
```


[2]
Entry from OQMD: a relaxed FeAsIrW crystal (PBE-GGA).

## Properties
excess energy over the best structure of this formula in the dataset: 149 meV/atom

CIF file:
```
data_FeAsIrW
_cell_length_a 6.1939
_cell_length_b 6.1939
_cell_length_c 6.1939
_cell_angle_alpha 90.00
_cell_angle_beta 90.00
_cell_angle_gamma 90.00
_space_group_name_H-M_alt 'F -4 3 m'
_space_group_IT_number 216
_space_group_name_Hall 'F -4 2 3'
loop_
_atom_site_label
_atom_site_type_symbol
_atom_site_fract_x
_atom_site_fract_y
_atom_site_fract_z
Fe1 Fe 0.0000 0.0000 0.0000
As1 As 0.2500 0.2500 0.7500
Ir1 Ir 0.0000 0.0000 0.5000
W1 W 0.2500 0.2500 0.2500
```


[3]
Entry from OQMD: a relaxed RbNaZrTe3 crystal (PBE-GGA).

## Properties
excess energy over the best structure of this formula in the dataset: 54 meV/atom

CIF file:
```
data_RbNaZrTe3
_cell_length_a 4.3409
_cell_length_b 16.1634
_cell_length_c 11.6585
_cell_angle_alpha 90.00
_cell_angle_beta 90.00
_cell_angle_gamma 90.00
_space_group_name_H-M_alt 'C m c m'
_space_group_IT_number 63
_space_group_name_Hall '-C 2c 2'
loop_
_atom_site_label
_atom_site_type_symbol
_atom_site_fract_x
_atom_site_fract_y
_atom_site_fract_z
Rb1 Rb 0.0000 0.2454 0.2500
Na1 Na 0.0000 0.0539 0.7500
Zr1 Zr 0.0000 0.5000 0.0000
Te1 Te 0.0000 0.1250 0.5245
Te2 Te 0.0000 0.4377 0.7500
```


[4]
Entry from OQMD: a relaxed Dy4CIBr2F2 crystal (PBE-GGA).

## Properties
raw total energy: -5.47 eV/atom

CIF file:
```
data_Dy4CIBr2F2
_cell_length_a 15.3326
_cell_length_b 3.7557
_cell_length_c 8.5188
_cell_angle_alpha 90.00
_cell_angle_beta 106.23
_cell_angle_gamma 90.00
_space_group_name_H-M_alt 'C 1 2/m 1'
_space_group_IT_number 12
loop_
_space_group_symop_operation_xyz
'x,y,z'
'-x,-y,-z'
'-x,y,-z'
'x,-y,z'
'x+1/2,y+1/2,z'
'-x+1/2,-y+1/2,-z'
'-x+1/2,y+1/2,-z'
'x+1/2,-y+1/2,z'
loop_
_atom_site_label
_atom_site_type_symbol
_atom_site_fract_x
_atom_site_fract_y
_atom_site_fract_z
Dy1 Dy 0.0046 0.0000 0.3110
Dy2 Dy 0.1593 0.5000 0.5757
C1 C 0.0000 0.5000 0.5000
I1 I 0.0000 0.5000 0.0000
Br1 Br 0.1919 0.0000 0.8290
F1 F 0.1760 0.0000 0.4134
```


[5]
Entry from OQMD: a relaxed BeInTcMo crystal (PBE-GGA).

## Properties
excess energy over the best structure of this formula in the dataset: 0 meV/atom

CIF file:
```
data_BeInTcMo
_cell_length_a 6.2211
_cell_length_b 6.2211
_cell_length_c 6.2211
_cell_angle_alpha 90.00
_cell_angle_beta 90.00
_cell_angle_gamma 90.00
_space_group_name_H-M_alt 'F -4 3 m'
_space_group_IT_number 216
_space_group_name_Hall 'F -4 2 3'
loop_
_atom_site_label
_atom_site_type_symbol
_atom_site_fract_x
_atom_site_fract_y
_atom_site_fract_z
Be1 Be 0.0000 0.0000 0.0000
In1 In 0.2500 0.2500 0.2500
Tc1 Tc 0.0000 0.0000 0.5000
Mo1 Mo 0.2500 0.2500 0.7500
```


[6]
Entry from OQMD: a relaxed TaTc2B crystal (PBE-GGA).

## Properties
raw total energy: -9.37 eV/atom

CIF file:
```
data_TaTc2B
_cell_length_a 6.0338
_cell_length_b 6.0338
_cell_length_c 6.0338
_cell_angle_alpha 90.00
_cell_angle_beta 90.00
_cell_angle_gamma 90.00
_space_group_name_H-M_alt 'F -4 3 m'
_space_group_IT_number 216
_space_group_name_Hall 'F -4 2 3'
loop_
_atom_site_label
_atom_site_type_symbol
_atom_site_fract_x
_atom_site_fract_y
_atom_site_fract_z
Ta1 Ta 0.0000 0.0000 0.0000
Tc1 Tc 0.0000 0.0000 0.5000
Tc2 Tc 0.2500 0.2500 0.2500
B1 B 0.2500 0.2500 0.7500
```


[7]
Entry from OQMD: a relaxed MgZn3Si2Pt2 crystal (PBE-GGA).

## Properties
raw total energy: -3.96 eV/atom

CIF file:
```
data_MgZn3Si2Pt2
_cell_length_a 4.2150
_cell_length_b 4.2150
_cell_length_c 8.1918
_cell_angle_alpha 90.00
_cell_angle_beta 90.00
_cell_angle_gamma 120.00
_space_group_name_H-M_alt 'P 3 m 1'
_space_group_IT_number 156
loop_
_space_group_symop_operation_xyz
'x,y,z'
'-y,x-y,z'
'-x+y,-x,z'
'-y,-x,z'
'-x+y,y,z'
'x,x-y,z'
loop_
_atom_site_label
_atom_site_type_symbol
_atom_site_fract_x
_atom_site_fract_y
_atom_site_fract_z
Mg1 Mg 0.0000 0.0000 0.0000
Zn1 Zn 0.0000 0.0000 0.6544
Zn2 Zn 0.3333 0.6667 0.1635
Zn3 Zn 0.3333 0.6667 0.5025
Si1 Si 0.6667 0.3333 0.3223
Si2 Si 0.6667 0.3333 0.8201
Pt1 Pt 0.0000 0.0000 0.3318
Pt2 Pt 0.3333 0.6667 0.8285
```


[8]
Entry from OQMD: a relaxed Ho3NbSn2C2 crystal (PBE-GGA).

## Properties
raw total energy: -6.79 eV/atom

CIF file:
```
data_Ho3NbSn2C2
_cell_length_a 3.4781
_cell_length_b 3.4781
_cell_length_c 15.3837
_cell_angle_alpha 90.00
_cell_angle_beta 90.00
_cell_angle_gamma 120.00
_space_group_name_H-M_alt 'P 3 m 1'
_space_group_IT_number 156
loop_
_space_group_symop_operation_xyz
'x,y,z'
'-y,x-y,z'
'-x+y,-x,z'
'-y,-x,z'
'-x+y,y,z'
'x,x-y,z'
loop_
_atom_site_label
_atom_site_type_symbol
_atom_site_fract_x
_atom_site_fract_y
_atom_site_fract_z
Ho1 Ho 0.0000 0.0000 0.0000
Ho2 Ho 0.0000 0.0000 0.3407
Ho3 Ho 0.6667 0.3333 0.8247
Nb1 Nb 0.6667 0.3333 0.5032
Sn1 Sn 0.0000 0.0000 0.6509
Sn2 Sn 0.6667 0.3333 0.1721
C1 C 0.3333 0.6667 0.4332
C2 C 0.3333 0.6667 0.9117
```


Computed ρ, in the same sequence as the records: 6.93 14.17 4.73 6.96 8.77 11.72 8.79 8.75 g cm⁻³.